# 1
Computed, not measured: a relaxed AcPmGa2 crystal at the GGA-PBE level of DFT.

Computed properties:
For the energy above the most stable polymorph in this dataset, the calculation gives 68.0 meV per atom.

Cell lengths 7.6198, 7.6198, 7.6198 Å; angles 90.00, 90.00, 90.00 degrees
Space group Fm-3m (No. 225)
Unique sites:
Ac 0.0000 0.0000 0.0000 (multiplicity 4)
Pm 0.0000 0.0000 0.5000 (multiplicity 4)
Ga 0.2500 0.2500 0.2500 (multiplicity 8)

# 2
Computed, not measured: a relaxed CdNiIr2 crystal at the GGA-PBE level of DFT.

Computed properties:
The calculation puts the total energy at -5.802 eV per atom.

Cell lengths 2.8060, 4.7250, 9.1577 Å; angles 90.00, 90.00, 90.00 degrees
Space group Cmmm (No. 65)
Unique sites:
Cd 0.0000 0.0000 0.0000 (multiplicity 2)
Ni 0.0000 0.0000 0.5000 (multiplicity 2)
Ir 0.0000 0.5000 0.2722 (multiplicity 4)